# Zn6CoCu8

Zn6CoCu8 after structural relaxation (PBE-GGA, Alexandria).

Unit cell a=6.5584 b=6.5584 c=6.5584 alpha=59.44 beta=59.44 gamma=59.44
With the nearest neighbours (Å) after each atom.
Fractional coordinates of all 15 atoms:
Zn (0.0473, 0.7280, 0.5625)  1 Co 2.47, 5 Cu 2.50-2.58
Zn (0.2720, 0.4375, 0.9527)  1 Co 2.47, 5 Cu 2.50-2.58
Zn (0.4375, 0.9527, 0.2720)  1 Co 2.47, 5 Cu 2.50-2.58
Zn (0.5625, 0.0473, 0.7280)  1 Co 2.47, 5 Cu 2.50-2.58
Zn (0.7280, 0.5625, 0.0473)  1 Co 2.47, 5 Cu 2.50-2.58
Zn (0.9527, 0.2720, 0.4375)  1 Co 2.47, 5 Cu 2.50-2.58
Co (0.5000, 0.5000, 0.5000)  6 Zn 2.47, 2 Cu 2.52
Cu (0.0997, 0.2732, 0.8091)  5 Cu 2.48-2.64, 4 Zn 2.50-2.58
Cu (0.1909, 0.9003, 0.7268)  5 Cu 2.48-2.64, 4 Zn 2.50-2.58
Cu (0.2732, 0.8091, 0.0997)  5 Cu 2.48-2.64, 4 Zn 2.50-2.58
Cu (0.3439, 0.3439, 0.3439)  1 Co 2.52, 3 Cu 2.54, 3 Zn 2.55
Cu (0.6561, 0.6561, 0.6561)  1 Co 2.52, 3 Cu 2.54, 3 Zn 2.55
Cu (0.7268, 0.1909, 0.9003)  5 Cu 2.48-2.64, 4 Zn 2.50-2.58
Cu (0.8091, 0.0997, 0.2732)  5 Cu 2.48-2.64, 4 Zn 2.50-2.58
Cu (0.9003, 0.7268, 0.1909)  5 Cu 2.48-2.64, 4 Zn 2.50-2.58

Properties
**Uncorrected energy**: -47.43 eV/cell
**Energy of formation**: 0.01 eV/atom